{
  "formula": "CaRu",
  "functional": "GGA-PBE",
  "state": "optimized geometry",
  "crystal_system": "hexagonal",
  "magmom_total_mub_per_fu": 0.0,
  "space_group": "P6_3/mmc (194)",
  "total_energy_ev_per_atom": -5.37,
  "lattice_angstrom": [[-0.486, 4.616, -1.778], [-3.961, -2.396, 1.811], [0.895, 1.728, 4.242]],
  "species": ["Ru", "Ca", "Ru", "Ca"],
  "fractional_positions": [[0.000, 0.000, 0.000], [0.333, 0.667, 0.250], [0.000, 0.000, 0.500], [0.667, 0.333, 0.750]]
}